Record 1
BaSmCd2Au4 | PBE | relaxed

Lattice parameters (Å, degrees): 10.148 10.148 10.148 27.86 27.86 27.86
Element x y z (fractional)
Ba  0.000  0.000  0.000
Sm  0.500  0.500  0.500
Cd  0.239  0.239  0.239
Cd  0.761  0.761  0.761
Au  0.121  0.121  0.121
Au  0.398  0.398  0.398
Au  0.602  0.602  0.602
Au  0.879  0.879  0.879

Properties
* E_form: -0.576 eV/atom



Record 2
BaCdSnAu3 | PBE | relaxed

Lattice parameters (Å, degrees): 7.523 7.523 7.124 90.00 90.00 124.45
Element x y z (fractional)
Ba  0.208  0.792  0.750
Ba  0.792  0.208  0.250
Cd  0.472  0.528  0.750
Cd  0.528  0.472  0.250
Sn  0.119  0.881  0.250
Sn  0.881  0.119  0.750
Au  0.206  0.206  0.000
Au  0.206  0.206  0.500
Au  0.321  0.679  0.250
Au  0.679  0.321  0.750
Au  0.794  0.794  0.000
Au  0.794  0.794  0.500

Properties
* E_form: -0.342 eV/atom



Record 3
Ba2Cd3Sn4Au | PBE | relaxed

Lattice parameters (Å, degrees): 4.957 4.957 11.950 90.00 90.00 90.00
Element x y z (fractional)
Ba  0.000  0.500  0.238
Ba  0.500  0.000  0.762
Cd  0.000  0.000  0.000
Cd  0.000  0.500  0.639
Cd  0.500  0.000  0.361
Sn  0.000  0.000  0.500
Sn  0.000  0.500  0.876
Sn  0.500  0.000  0.124
Sn  0.500  0.500  0.500
Au  0.500  0.500  0.000

Properties
* E_form: -0.438 eV/atom



Record 4
BaCd2SnAu2 | PBE | relaxed

Lattice parameters (Å, degrees): 7.616 8.164 5.251 90.00 90.00 90.00
Element x y z (fractional)
Ba  0.000  0.000  0.000
Ba  0.500  0.500  0.500
Cd  0.232  0.362  0.000
Cd  0.268  0.862  0.500
Cd  0.732  0.138  0.500
Cd  0.768  0.638  0.000
Sn  0.000  0.500  0.500
Sn  0.500  0.000  0.000
Au  0.192  0.201  0.500
Au  0.308  0.701  0.000
Au  0.692  0.299  0.000
Au  0.808  0.799  0.500

Properties
* E_form: -0.297 eV/atom



Record 5
BaCdSnAu2 | PBE | relaxed

Lattice parameters (Å, degrees): 4.725 4.725 12.067 90.00 90.00 90.00
Element x y z (fractional)
Ba  0.000  0.000  0.000
Ba  0.500  0.500  0.500
Cd  0.000  0.500  0.750
Cd  0.500  0.000  0.250
Sn  0.000  0.500  0.250
Sn  0.500  0.000  0.750
Au  0.000  0.000  0.384
Au  0.000  0.000  0.616
Au  0.500  0.500  0.116
Au  0.500  0.500  0.884

Properties
* E_form: -0.542 eV/atom



Record 6
BaCdSn2Au4 | PBE | relaxed

Lattice parameters (Å, degrees): 10.388 10.388 10.388 26.60 26.60 26.60
Element x y z (fractional)
Ba  0.000  0.000  0.000
Cd  0.500  0.500  0.500
Sn  0.241  0.241  0.241
Sn  0.759  0.759  0.759
Au  0.140  0.140  0.140
Au  0.401  0.401  0.401
Au  0.599  0.599  0.599
Au  0.860  0.860  0.860

Properties
* E_form: -0.367 eV/atom